Below is an optimized crystal structure of NaAcAg2, with properties calculated at the PBE level.

Unit cell a=4.577 b=7.700 c=12.877 alpha=90.00 beta=90.00 gamma=90.00
Atoms (fractional coordinates):
Ag 0.750 0.458 0.820
Ag 0.750 0.958 0.680
Ag 0.250 0.182 0.120
Ag 0.750 0.818 0.880
Ag 0.750 0.318 0.620
Ag 0.250 0.542 0.180
Ag 0.250 0.682 0.380
Ag 0.250 0.042 0.320
Na 0.250 0.117 0.549
Na 0.750 0.883 0.451
Na 0.750 0.383 0.049
Na 0.250 0.617 0.951
Ac 0.750 0.873 0.147
Ac 0.250 0.127 0.853
Ac 0.750 0.373 0.353
Ac 0.250 0.627 0.647

total magnetization: 0.00 μB per cell
total energy: -2.877 eV per atom